Ca2Sm5Tm4 | PBE-GGA | optimized geometry

It has space group P-1 (No. 2), with a = 5.596 Å, b = 8.875 Å, c = 8.898 Å, α = 115.85°, β = 108.30° and γ = 90.06°. The distinct sites, in fractional coordinates, are Ca at (0.092, 0.460, 0.182), Sm at (0.000, 0.000, 0.000), Sm at (0.257, 0.326, 0.513), Sm at (0.432, 0.222, 0.863), Tm at (0.203, 0.904, 0.407) and Tm at (0.373, 0.792, 0.748).

The calculation puts the density of states at the Fermi level at 1.4190 states/eV/atom. The calculation puts the total magnetization at 0.00 μB/f.u. The volume is 372.6 Å³ per cell. The calculation puts the total energy at -4.03 eV per atom. The formation energy is 0.10 eV per atom.